# Zr2PtPb PBE-GGA optimized geometry
# total DFT energy (no corrections)	-6.916	eV/atom
data_Zr2PtPb
_symmetry_space_group_name_H-M 'R 3 m'
_symmetry_Int_Tables_number 160
_symmetry_space_group_name_Hall 'R 3 -2"'
_cell_length_a 3.3766
_cell_length_b 3.3766
_cell_length_c 28.1734
_cell_angle_alpha 90.00
_cell_angle_beta 90.00
_cell_angle_gamma 120.00
loop_
_atom_site_label
_atom_site_fract_x
_atom_site_fract_y
_atom_site_fract_z
Zr1 0.0000 0.0000 0.0000
Zr2 0.0000 0.0000 0.2445
Pt1 0.0000 0.0000 0.5119
Pb1 0.0000 0.0000 0.7617

=====

# MnNiIrPd PBE-GGA optimized geometry
# total DFT energy (no corrections)	-7.242	eV/atom
data_MnNiIrPd
_symmetry_space_group_name_H-M 'F -4 3 m'
_symmetry_Int_Tables_number 216
_symmetry_space_group_name_Hall 'F -4 2 3'
_cell_length_a 6.019
_cell_length_b 6.019
_cell_length_c 6.019
_cell_angle_alpha 90.00
_cell_angle_beta 90.00
_cell_angle_gamma 90.00
loop_
_atom_site_label
_atom_site_fract_x
_atom_site_fract_y
_atom_site_fract_z
Mn1 0.000 0.000 0.000
Ni1 0.000 0.000 0.500
Ir1 0.250 0.250 0.250
Pd1 0.250 0.250 0.750

=====

# VMo2C2 PBE-GGA optimized geometry
# relative energy among the computed polymorphs	297.5	meV per atom
data_VMo2C2
_symmetry_space_group_name_H-M 'P 4/m b m'
_symmetry_Int_Tables_number 127
_symmetry_space_group_name_Hall '-P 4 2ab'
_cell_length_a 5.936
_cell_length_b 5.936
_cell_length_c 3.007
_cell_angle_alpha 90.00
_cell_angle_beta 90.00
_cell_angle_gamma 90.00
loop_
_atom_site_label
_atom_site_fract_x
_atom_site_fract_y
_atom_site_fract_z
V1 0.000 0.000 0.000
Mo1 0.156 0.344 0.500
C1 0.157 0.657 0.000

=====

# DyMgGe PBE-GGA optimized geometry
# total DFT energy (no corrections)	-4.267	eV/atom
data_DyMgGe
_symmetry_space_group_name_H-M 'I 4/m m m'
_symmetry_Int_Tables_number 139
_symmetry_space_group_name_Hall '-I 4 2'
_cell_length_a 4.184
_cell_length_b 4.184
_cell_length_c 15.276
_cell_angle_alpha 90.00
_cell_angle_beta 90.00
_cell_angle_gamma 90.00
loop_
_atom_site_label
_atom_site_fract_x
_atom_site_fract_y
_atom_site_fract_z
Dy1 0.000 0.000 0.170
Mg1 0.000 0.500 0.000
Ge1 0.000 0.000 0.365

=====

# AcTb2Pm2Nd PBE-GGA optimized geometry
# total DFT energy (no corrections)	-4.432	eV/atom
data_AcTb2Pm2Nd
_symmetry_space_group_name_H-M 'P n n m'
_symmetry_Int_Tables_number 58
_cell_length_a 7.149
_cell_length_b 16.560
_cell_length_c 3.637
_cell_angle_alpha 90.00
_cell_angle_beta 90.00
_cell_angle_gamma 90.00
loop_
_symmetry_equiv_pos_as_xyz
'x,y,z'
'-x,-y,-z'
'-x,-y,z'
'x,y,-z'
'x+1/2,-y+1/2,-z+1/2'
'-x+1/2,y+1/2,z+1/2'
'-x+1/2,y+1/2,-z+1/2'
'x+1/2,-y+1/2,z+1/2'
loop_
_atom_site_label
_atom_site_fract_x
_atom_site_fract_y
_atom_site_fract_z
Ac1 0.000 0.000 0.000
Tb1 0.248 0.342 0.000
Pm1 0.246 0.661 0.000
Nd1 0.000 0.500 0.500

=====

# Tm5CdGa2 PBE-GGA optimized geometry
# relative energy among the computed polymorphs	228.7	meV per atom
data_Tm5CdGa2
_symmetry_space_group_name_H-M 'C m c m'
_symmetry_Int_Tables_number 63
_symmetry_space_group_name_Hall '-C 2c 2'
_cell_length_a 5.186
_cell_length_b 10.519
_cell_length_c 15.616
_cell_angle_alpha 90.00
_cell_angle_beta 90.00
_cell_angle_gamma 90.00
loop_
_atom_site_label
_atom_site_fract_x
_atom_site_fract_y
_atom_site_fract_z
Tm1 0.000 0.078 0.095
Tm2 0.000 0.361 0.750
Tm3 0.000 0.382 0.063
Cd1 0.000 0.313 0.250
Ga1 0.000 0.225 0.590

=====

# ThAl12Co6 PBE-GGA optimized geometry
# total DFT energy (no corrections)	-5.382	eV/atom
data_ThAl12Co6
_symmetry_space_group_name_H-M 'R -3 m'
_symmetry_Int_Tables_number 166
_symmetry_space_group_name_Hall '-R 3 2"'
_cell_length_a 10.9506
_cell_length_b 10.9506
_cell_length_c 8.2864
_cell_angle_alpha 90.00
_cell_angle_beta 90.00
_cell_angle_gamma 120.00
loop_
_atom_site_label
_atom_site_fract_x
_atom_site_fract_y
_atom_site_fract_z
Th1 0.0000 0.0000 0.0000
Al1 0.0000 0.3785 0.5000
Al2 0.0898 0.1796 0.3355
Co1 0.0539 0.5270 0.2619

=====

# Tb3Ga4Cu4 PBE-GGA optimized geometry
# total DFT energy (no corrections)	-4.299	eV/atom
data_Tb3Ga4Cu4
_symmetry_space_group_name_H-M 'P -1'
_symmetry_Int_Tables_number 2
_cell_length_a 3.748
_cell_length_b 4.176
_cell_length_c 13.459
_cell_angle_alpha 81.21
_cell_angle_beta 82.00
_cell_angle_gamma 89.99
loop_
_symmetry_equiv_pos_as_xyz
'x,y,z'
'-x,-y,-z'
loop_
_atom_site_label
_atom_site_fract_x
_atom_site_fract_y
_atom_site_fract_z
Tb1 0.000 0.000 0.000
Tb2 0.147 0.647 0.705
Ga1 0.253 0.254 0.493
Ga2 0.405 0.904 0.192
Cu1 0.311 0.811 0.379
Cu2 0.455 0.453 0.094